VASP calculation (PBE-GGA) on KInRe after structural relaxation.

Summary:
Its total DFT energy (no corrections) is -4.517 eV/atom.

```
data_KInRe
_symmetry_space_group_name_H-M 'I m m 2'
_symmetry_Int_Tables_number 44
_cell_length_a 2.8344
_cell_length_b 4.6318
_cell_length_c 12.3800
_cell_angle_alpha 90.00
_cell_angle_beta 90.00
_cell_angle_gamma 90.00
loop_
_symmetry_equiv_pos_as_xyz
'x,y,z'
'-x,-y,z'
'-x,y,z'
'x,-y,z'
'x+1/2,y+1/2,z+1/2'
'-x+1/2,-y+1/2,z+1/2'
'-x+1/2,y+1/2,z+1/2'
'x+1/2,-y+1/2,z+1/2'
loop_
_atom_site_label
_atom_site_type_symbol
_atom_site_fract_x
_atom_site_fract_y
_atom_site_fract_z
_atom_site_occupancy
K1 K 0.0000 0.0000 0.0000 1
In1 In 0.0000 0.0000 0.7277 1
Re1 Re 0.0000 0.0000 0.2770 1
```